The following is a PBE calculation of a relaxed AcHoOs crystal, from the Open Quantum Materials Database.

The structure in extended XYZ format:
```
3
Lattice="1.201 0.392 4.762 0.190 4.436 2.135 -3.418 1.292 3.305" Properties=species:S:1:pos:R:3 pbc="T T T"
Os -1.520 4.590 7.651
Ho -0.507 1.530 2.550
Ac 0.000 0.000 0.000
```

Output
* offset from the most stable computed form: 7.48 kcal/mol of atoms
* calculated formation energy: 1067 meV per atom
* electronic total energy: -5.569 eV/atom